No. 1
The following is a DFT calculation (PBE-GGA) of a relaxed HgS2ICl crystal. Values from VASP.

The structure in Quantum ESPRESSO input format:
```
&SYSTEM
  ibrav = 0, nat = 5, ntyp = 4
/
ATOMIC_SPECIES
Hg 200.59 Hg.upf
S 32.06 S.upf
I 126.90 I.upf
Cl 35.45 Cl.upf
CELL_PARAMETERS angstrom
4.563 0.000 0.000
0.000 4.563 0.000
0.000 0.000 7.406
ATOMIC_POSITIONS crystal
Hg 0.000 0.000 0.000
S 0.000 0.500 0.500
S 0.500 0.000 0.500
I 0.500 0.500 0.000
Cl 0.000 0.000 0.500
```

Properties
**Energy above the most stable polymorph in this dataset**: 11.85 kJ per mole of atoms
**Total magnetic moment**: 0.4 μB/cell
**N(E_F)**: 0.536 states/eV per atom
**E**: -1.70 eV/atom



No. 2
The following is a DFT calculation (PBE-GGA) of a relaxed DyTmZnRe crystal. Values from VASP.

The structure in Quantum ESPRESSO input format:
```
&SYSTEM
  ibrav = 0, nat = 16, ntyp = 4
/
ATOMIC_SPECIES
Dy 162.50 Dy.upf
Tm 168.93 Tm.upf
Zn 65.41 Zn.upf
Re 186.21 Re.upf
CELL_PARAMETERS angstrom
6.916 0.000 0.000
0.000 6.916 0.000
0.000 0.000 6.916
ATOMIC_POSITIONS crystal
Dy 0.000 0.000 0.000
Dy 0.000 0.500 0.500
Dy 0.500 0.000 0.500
Dy 0.500 0.500 0.000
Tm 0.000 0.000 0.500
Tm 0.000 0.500 0.000
Tm 0.500 0.000 0.000
Tm 0.500 0.500 0.500
Zn 0.250 0.250 0.750
Zn 0.250 0.750 0.250
Zn 0.750 0.250 0.250
Zn 0.750 0.750 0.750
Re 0.250 0.250 0.250
Re 0.250 0.750 0.750
Re 0.750 0.250 0.750
Re 0.750 0.750 0.250
```

Properties
**DFT formation energy**: -52.3 meV/atom
**Total magnetic moment**: 0.0 μB/cell
**N(E_F)**: 0.585 states/eV per atom
**E**: -5.75 eV/atom



No. 3
The following is a DFT calculation (PBE-GGA) of a relaxed NaSbIN2 crystal. Values from VASP.

The structure in Quantum ESPRESSO input format:
```
&SYSTEM
  ibrav = 0, nat = 5, ntyp = 4
/
ATOMIC_SPECIES
Na 22.99 Na.upf
Sb 121.76 Sb.upf
I 126.90 I.upf
N 14.01 N.upf
CELL_PARAMETERS angstrom
4.149 0.000 0.000
0.000 4.149 0.000
0.000 0.000 6.880
ATOMIC_POSITIONS crystal
Na 0.000 0.000 0.000
Sb 0.500 0.500 0.500
I 0.500 0.500 0.000
N 0.000 0.500 0.500
N 0.500 0.000 0.500
```

Properties
**Energy above the most stable polymorph in this dataset**: 0.00 kJ per mole of atoms
**Total magnetic moment**: 1.2 μB/cell
**N(E_F)**: 0.305 states/eV per atom
**E**: -4.01 eV/atom



No. 4
The following is a DFT calculation (PBE-GGA) of a relaxed Li4CrNi crystal. Values from VASP.

The structure in Quantum ESPRESSO input format:
```
&SYSTEM
  ibrav = 0, nat = 6, ntyp = 3
/
ATOMIC_SPECIES
Li 6.94 Li.upf
Cr 52.00 Cr.upf
Ni 58.69 Ni.upf
CELL_PARAMETERS angstrom
0.000 3.483 3.483
3.483 0.000 3.483
3.483 3.483 0.000
ATOMIC_POSITIONS crystal
Li 0.124 0.124 0.124
Li 0.124 0.124 0.628
Li 0.124 0.628 0.124
Li 0.628 0.124 0.124
Cr 0.500 0.500 0.500
Ni 0.750 0.750 0.750
```

Properties
**DFT formation energy**: 390.0 meV/atom
**Total magnetic moment**: 4.4 μB/cell
**N(E_F)**: 0.473 states/eV per atom
**E**: -3.45 eV/atom



No. 5
The following is a DFT calculation (PBE-GGA) of a relaxed Ca7TbIn4 crystal. Values from VASP.

The structure in Quantum ESPRESSO input format:
```
&SYSTEM
  ibrav = 0, nat = 12, ntyp = 3
/
ATOMIC_SPECIES
Ca 40.08 Ca.upf
Tb 158.93 Tb.upf
In 114.82 In.upf
CELL_PARAMETERS angstrom
7.410 -2.880 0.000
7.410 2.880 0.000
-6.647 0.000 9.283
ATOMIC_POSITIONS crystal
Ca 0.000 0.000 0.000
Ca 0.175 0.175 0.618
Ca 0.280 0.280 0.123
Ca 0.427 0.427 0.632
Ca 0.573 0.573 0.368
Ca 0.720 0.720 0.877
Ca 0.825 0.825 0.382
Tb 0.500 0.500 0.000
In 0.060 0.060 0.779
In 0.185 0.185 0.327
In 0.815 0.815 0.673
In 0.940 0.940 0.221
```

Properties
**DFT formation energy**: -151.0 meV/atom
**Total magnetic moment**: 0.6 μB/cell
**N(E_F)**: 0.629 states/eV per atom
**E**: -2.62 eV/atom



No. 6
The following is a DFT calculation (PBE-GGA) of a relaxed AgSbO2 crystal. Values from VASP.

The structure in Quantum ESPRESSO input format:
```
&SYSTEM
  ibrav = 0, nat = 16, ntyp = 3
/
ATOMIC_SPECIES
Ag 107.87 Ag.upf
Sb 121.76 Sb.upf
O 16.00 O.upf
CELL_PARAMETERS angstrom
5.102 0.000 0.000
0.000 5.102 0.000
0.000 0.000 11.098
ATOMIC_POSITIONS crystal
Ag 0.000 0.000 0.000
Ag 0.000 0.500 0.250
Ag 0.500 0.000 0.750
Ag 0.500 0.500 0.500
Sb 0.000 0.000 0.500
Sb 0.000 0.500 0.750
Sb 0.500 0.000 0.250
Sb 0.500 0.500 0.000
O 0.209 0.250 0.625
O 0.250 0.709 0.875
O 0.250 0.791 0.375
O 0.291 0.250 0.125
O 0.709 0.750 0.125
O 0.750 0.209 0.375
O 0.750 0.291 0.875
O 0.791 0.750 0.625
```

Properties
**Total magnetic moment**: 0.0 μB/cell
**N(E_F)**: 0.102 states/eV per atom
**E**: -4.81 eV/atom



No. 7
The following is a DFT calculation (PBE-GGA) of a relaxed ScRuRh2C crystal. Values from VASP.

The structure in Quantum ESPRESSO input format:
```
&SYSTEM
  ibrav = 0, nat = 5, ntyp = 4
/
ATOMIC_SPECIES
Sc 44.96 Sc.upf
Ru 101.07 Ru.upf
Rh 102.91 Rh.upf
C 12.01 C.upf
CELL_PARAMETERS angstrom
4.105 0.000 0.000
0.000 4.105 0.000
0.000 0.000 4.083
ATOMIC_POSITIONS crystal
Sc 0.000 0.000 0.000
Ru 0.500 0.500 0.000
Rh 0.000 0.500 0.500
Rh 0.500 0.000 0.500
C 0.500 0.500 0.500
```

Properties
**DFT formation energy**: -422.9 meV/atom
**Total magnetic moment**: 0.0 μB/cell
**N(E_F)**: 0.733 states/eV per atom
**E**: -8.33 eV/atom



No. 8
The following is a DFT calculation (PBE-GGA) of a relaxed HfTiRe2 crystal. Values from VASP.

The structure in Quantum ESPRESSO input format:
```
&SYSTEM
  ibrav = 0, nat = 16, ntyp = 3
/
ATOMIC_SPECIES
Hf 178.49 Hf.upf
Ti 47.87 Ti.upf
Re 186.21 Re.upf
CELL_PARAMETERS angstrom
6.393 0.000 0.000
0.000 6.393 0.000
0.000 0.000 6.393
ATOMIC_POSITIONS crystal
Hf 0.000 0.000 0.000
Hf 0.000 0.500 0.500
Hf 0.500 0.000 0.500
Hf 0.500 0.500 0.000
Ti 0.000 0.000 0.500
Ti 0.000 0.500 0.000
Ti 0.500 0.000 0.000
Ti 0.500 0.500 0.500
Re 0.250 0.250 0.250
Re 0.250 0.250 0.750
Re 0.250 0.750 0.250
Re 0.250 0.750 0.750
Re 0.750 0.250 0.250
Re 0.750 0.250 0.750
Re 0.750 0.750 0.250
Re 0.750 0.750 0.750
```

Properties
**Energy above the most stable polymorph in this dataset**: 0.21 kJ per mole of atoms
**DFT formation energy**: -324.3 meV/atom
**Total magnetic moment**: 0.0 μB/cell
**N(E_F)**: 0.750 states/eV per atom
**E**: -11.01 eV/atom



No. 9
The following is a DFT calculation (PBE-GGA) of a relaxed Mg2TlCr crystal. Values from VASP.

The structure in Quantum ESPRESSO input format:
```
&SYSTEM
  ibrav = 0, nat = 4, ntyp = 3
/
ATOMIC_SPECIES
Mg 24.30 Mg.upf
Tl 204.38 Tl.upf
Cr 52.00 Cr.upf
CELL_PARAMETERS angstrom
3.208 0.000 0.000
0.000 4.718 0.000
-1.561 0.000 5.776
ATOMIC_POSITIONS crystal
Mg 0.000 0.000 0.000
Mg 0.340 0.500 0.694
Tl 0.607 0.500 0.220
Cr 0.740 0.000 0.496
```

Properties
**Energy above the most stable polymorph in this dataset**: 5.53 kJ per mole of atoms
**DFT formation energy**: 296.8 meV/atom
**Total magnetic moment**: 4.1 μB/cell
**N(E_F)**: 0.457 states/eV per atom
**E**: -3.50 eV/atom



No. 10
The following is a DFT calculation (PBE-GGA) of a relaxed CoSi2Ag crystal. Values from VASP.

The structure in Quantum ESPRESSO input format:
```
&SYSTEM
  ibrav = 0, nat = 8, ntyp = 3
/
ATOMIC_SPECIES
Co 58.93 Co.upf
Si 28.09 Si.upf
Ag 107.87 Ag.upf
CELL_PARAMETERS angstrom
7.596 0.000 0.000
0.000 2.719 0.000
-1.636 0.000 5.702
ATOMIC_POSITIONS crystal
Co 0.000 0.000 0.000
Co 0.500 0.500 0.000
Si 0.248 0.500 0.180
Si 0.252 0.000 0.820
Si 0.748 0.000 0.180
Si 0.752 0.500 0.820
Ag 0.000 0.500 0.500
Ag 0.500 0.000 0.500
```

Properties
**Energy above the most stable polymorph in this dataset**: 8.01 kJ per mole of atoms
**Total magnetic moment**: 0.3 μB/cell
**N(E_F)**: 0.531 states/eV per atom
**E**: -5.16 eV/atom



No. 11
The following is a DFT calculation (PBE-GGA) of a relaxed Er5Hg2Ir2 crystal. Values from VASP.

The structure in Quantum ESPRESSO input format:
```
&SYSTEM
  ibrav = 0, nat = 18, ntyp = 3
/
ATOMIC_SPECIES
Er 167.26 Er.upf
Hg 200.59 Hg.upf
Ir 192.22 Ir.upf
CELL_PARAMETERS angstrom
7.848 -3.725 0.000
7.848 3.725 0.000
0.000 0.000 7.576
ATOMIC_POSITIONS crystal
Er 0.000 0.000 0.000
Er 0.049 0.708 0.670
Er 0.208 0.549 0.170
Er 0.292 0.951 0.670
Er 0.451 0.792 0.170
Er 0.500 0.500 0.500
Er 0.549 0.208 0.830
Er 0.708 0.049 0.330
Er 0.792 0.451 0.830
Er 0.951 0.292 0.330
Hg 0.214 0.214 0.000
Hg 0.286 0.286 0.500
Hg 0.714 0.714 0.500
Hg 0.786 0.786 0.000
Ir 0.132 0.868 0.366
Ir 0.368 0.632 0.866
Ir 0.632 0.368 0.134
Ir 0.868 0.132 0.634
```

Properties
**DFT formation energy**: -696.7 meV/atom
**Total magnetic moment**: 0.0 μB/cell
**N(E_F)**: 0.553 states/eV per atom
**E**: -5.27 eV/atom



No. 12
The following is a DFT calculation (PBE-GGA) of a relaxed Np2GaSi3Ir4 crystal. Values from VASP.

The structure in Quantum ESPRESSO input format:
```
&SYSTEM
  ibrav = 0, nat = 10, ntyp = 4
/
ATOMIC_SPECIES
Np 237.00 Np.upf
Ga 69.72 Ga.upf
Si 28.09 Si.upf
Ir 192.22 Ir.upf
CELL_PARAMETERS angstrom
4.116 0.000 0.000
0.000 4.116 0.000
0.000 0.000 10.138
ATOMIC_POSITIONS crystal
Np 0.000 0.500 0.245
Np 0.500 0.000 0.755
Ga 0.500 0.500 0.000
Si 0.000 0.000 0.000
Si 0.000 0.500 0.628
Si 0.500 0.000 0.372
Ir 0.000 0.000 0.500
Ir 0.000 0.500 0.860
Ir 0.500 0.000 0.140
Ir 0.500 0.500 0.500
```

Properties
**Total magnetic moment**: 7.2 μB/cell
**N(E_F)**: 2.479 states/eV per atom
**E**: -8.73 eV/atom



No. 13
The following is a DFT calculation (PBE-GGA) of a relaxed Nd2TlSn3Se6 crystal. Values from VASP.

The structure in Quantum ESPRESSO input format:
```
&SYSTEM
  ibrav = 0, nat = 12, ntyp = 4
/
ATOMIC_SPECIES
Nd 144.24 Nd.upf
Tl 204.38 Tl.upf
Sn 118.71 Sn.upf
Se 78.96 Se.upf
CELL_PARAMETERS angstrom
9.444 -2.175 0.000
9.444 2.175 0.000
-1.293 0.000 8.580
ATOMIC_POSITIONS crystal
Nd 0.170 0.170 0.341
Nd 0.830 0.830 0.659
Tl 0.500 0.500 0.000
Sn 0.157 0.157 0.862
Sn 0.500 0.500 0.500
Sn 0.843 0.843 0.138
Se 0.018 0.018 0.276
Se 0.312 0.312 0.894
Se 0.334 0.334 0.419
Se 0.666 0.666 0.581
Se 0.688 0.688 0.106
Se 0.982 0.982 0.724
```

Properties
**Total magnetic moment**: 0.0 μB/cell
**N(E_F)**: 0.281 states/eV per atom
**E**: -4.65 eV/atom



No. 14
The following is a DFT calculation (PBE-GGA) of a relaxed NaAg3Br6 crystal. Values from VASP.

The structure in Quantum ESPRESSO input format:
```
&SYSTEM
  ibrav = 0, nat = 10, ntyp = 3
/
ATOMIC_SPECIES
Na 22.99 Na.upf
Ag 107.87 Ag.upf
Br 79.90 Br.upf
CELL_PARAMETERS angstrom
4.843 -6.987 0.000
4.843 6.987 0.000
0.000 0.000 4.439
ATOMIC_POSITIONS crystal
Na 0.000 0.000 0.000
Ag 0.000 0.500 0.500
Ag 0.500 0.000 0.500
Ag 0.500 0.500 0.000
Br 0.159 0.841 0.500
Br 0.181 0.433 0.000
Br 0.433 0.181 0.000
Br 0.567 0.819 0.000
Br 0.819 0.567 0.000
Br 0.841 0.159 0.500
```

Properties
**Total magnetic moment**: 0.0 μB/cell
**N(E_F)**: 0.290 states/eV per atom
**E**: -2.48 eV/atom



No. 15
The following is a DFT calculation (PBE-GGA) of a relaxed Zr2W crystal. Values from VASP.

The structure in Quantum ESPRESSO input format:
```
&SYSTEM
  ibrav = 0, nat = 6, ntyp = 2
/
ATOMIC_SPECIES
Zr 91.22 Zr.upf
W 183.84 W.upf
CELL_PARAMETERS angstrom
2.896 0.000 0.000
0.000 4.924 0.000
0.000 0.000 8.454
ATOMIC_POSITIONS crystal
Zr 0.000 0.000 0.167
Zr 0.000 0.000 0.833
Zr 0.500 0.500 0.333
Zr 0.500 0.500 0.667
W 0.000 0.000 0.500
W 0.500 0.500 0.000
```

Properties
**Energy above the most stable polymorph in this dataset**: 17.99 kJ per mole of atoms
**DFT formation energy**: 274.8 meV/atom
**Total magnetic moment**: 0.0 μB/cell
**N(E_F)**: 1.308 states/eV per atom
**E**: -9.74 eV/atom



No. 16
The following is a DFT calculation (PBE-GGA) of a relaxed RbYSbMo2 crystal. Values from VASP.

The structure in Quantum ESPRESSO input format:
```
&SYSTEM
  ibrav = 0, nat = 5, ntyp = 4
/
ATOMIC_SPECIES
Rb 85.47 Rb.upf
Y 88.91 Y.upf
Sb 121.76 Sb.upf
Mo 95.94 Mo.upf
CELL_PARAMETERS angstrom
5.127 0.000 0.000
0.000 5.127 0.000
0.000 0.000 5.773
ATOMIC_POSITIONS crystal
Rb 0.000 0.000 0.000
Y 0.500 0.500 0.000
Sb 0.500 0.500 0.500
Mo 0.000 0.500 0.500
Mo 0.500 0.000 0.500
```

Properties
**Total magnetic moment**: 1.1 μB/cell
**N(E_F)**: 1.218 states/eV per atom
**E**: -5.26 eV/atom



No. 17
The following is a DFT calculation (PBE-GGA) of a relaxed Cs2NbAsI6 crystal. Values from VASP.

The structure in Quantum ESPRESSO input format:
```
&SYSTEM
  ibrav = 0, nat = 10, ntyp = 4
/
ATOMIC_SPECIES
Cs 132.91 Cs.upf
Nb 92.91 Nb.upf
As 74.92 As.upf
I 126.90 I.upf
CELL_PARAMETERS angstrom
-4.091 4.091 6.686
4.091 -4.091 6.686
4.091 4.091 -6.686
ATOMIC_POSITIONS crystal
Cs 0.250 0.750 0.500
Cs 0.750 0.250 0.500
Nb 0.000 0.000 0.000
As 0.500 0.500 0.000
I 0.215 0.215 0.000
I 0.250 0.250 0.500
I 0.250 0.750 0.000
I 0.750 0.250 0.000
I 0.750 0.750 0.500
I 0.785 0.785 0.000
```

Properties
**Total magnetic moment**: 2.0 μB/cell
**N(E_F)**: 0.905 states/eV per atom
**E**: -3.17 eV/atom



No. 18
The following is a DFT calculation (PBE-GGA) of a relaxed V5Ru2Pt4 crystal. Values from VASP.

The structure in Quantum ESPRESSO input format:
```
&SYSTEM
  ibrav = 0, nat = 22, ntyp = 3
/
ATOMIC_SPECIES
V 50.94 V.upf
Ru 101.07 Ru.upf
Pt 195.08 Pt.upf
CELL_PARAMETERS angstrom
6.899 0.000 0.000
0.000 16.467 0.000
0.000 0.000 2.781
ATOMIC_POSITIONS crystal
V 0.000 0.000 0.000
V 0.144 0.432 0.000
V 0.245 0.213 0.000
V 0.255 0.713 0.000
V 0.356 0.932 0.000
V 0.500 0.500 0.000
V 0.644 0.068 0.000
V 0.745 0.287 0.000
V 0.755 0.787 0.000
V 0.856 0.568 0.000
Ru 0.049 0.305 0.500
Ru 0.451 0.805 0.500
Ru 0.549 0.195 0.500
Ru 0.951 0.695 0.500
Pt 0.070 0.857 0.500
Pt 0.206 0.568 0.500
Pt 0.294 0.068 0.500
Pt 0.430 0.357 0.500
Pt 0.570 0.643 0.500
Pt 0.706 0.932 0.500
Pt 0.794 0.432 0.500
Pt 0.930 0.143 0.500
```

Properties
**DFT formation energy**: -407.1 meV/atom
**Total magnetic moment**: 0.0 μB/cell
**N(E_F)**: 0.920 states/eV per atom
**E**: -8.44 eV/atom



No. 19
The following is a DFT calculation (PBE-GGA) of a relaxed NiSnBi2Rh crystal. Values from VASP.

The structure in Quantum ESPRESSO input format:
```
&SYSTEM
  ibrav = 0, nat = 5, ntyp = 4
/
ATOMIC_SPECIES
Ni 58.69 Ni.upf
Sn 118.71 Sn.upf
Bi 208.98 Bi.upf
Rh 102.91 Rh.upf
CELL_PARAMETERS angstrom
5.285 0.000 0.000
0.000 5.285 0.000
0.000 0.000 4.733
ATOMIC_POSITIONS crystal
Ni 0.000 0.000 0.000
Sn 0.500 0.500 0.000
Bi 0.000 0.500 0.500
Bi 0.500 0.000 0.500
Rh 0.000 0.000 0.500
```

Properties
**DFT formation energy**: 502.3 meV/atom
**Total magnetic moment**: 1.1 μB/cell
**N(E_F)**: 0.991 states/eV per atom
**E**: -4.48 eV/atom



No. 20
The following is a DFT calculation (PBE-GGA) of a relaxed Rb3AgSn crystal. Values from VASP.

The structure in Quantum ESPRESSO input format:
```
&SYSTEM
  ibrav = 0, nat = 5, ntyp = 3
/
ATOMIC_SPECIES
Rb 85.47 Rb.upf
Ag 107.87 Ag.upf
Sn 118.71 Sn.upf
CELL_PARAMETERS angstrom
6.609 0.000 0.000
0.000 6.609 0.000
0.000 0.000 6.609
ATOMIC_POSITIONS crystal
Rb 0.000 0.000 0.500
Rb 0.000 0.500 0.000
Rb 0.500 0.000 0.000
Ag 0.000 0.000 0.000
Sn 0.500 0.500 0.500
```

Properties
**Energy above the most stable polymorph in this dataset**: 19.94 kJ per mole of atoms
**DFT formation energy**: 236.7 meV/atom
**Total magnetic moment**: 2.0 μB/cell
**N(E_F)**: 1.092 states/eV per atom
**E**: -1.71 eV/atom